(1)
The following is a PBE calculation of HgGePd2W after structural relaxation, from Alexandria.

Computed properties:
Fermi-level density of states	1.452	states/eV per atom
calculated formation energy	1.809	eV/atom
size of the total moment	0.00	μB per formula unit

Lattice parameters (Å, degrees): 4.9472 5.0260 4.9472 90.00 90.00 90.00
Element x y z (fractional)
Pd (0.0000, 0.0000, 0.5000)
Pd (0.5000, 0.0000, 0.0000)
Hg (0.0000, 0.0000, 0.0000)
W (0.0000, 0.5000, 0.0000)
Ge (0.5000, 0.5000, 0.5000)

=====

(2)
The following is a PBE calculation of ZnH after structural relaxation, from Alexandria.

Computed properties:
Fermi-level density of states	0.143	states/eV per atom
calculated total energy	-1.97	eV per atom
size of the total moment	0.00	μB per formula unit

Lattice parameters (Å, degrees): 2.4660 2.7699 3.5982 81.24 67.38 66.48
Element x y z (fractional)
H (0.2304, 0.3218, 0.7027)
Zn (0.9415, 0.3268, 0.2612)

=====

Number 1 is which compound? HgGePd2W

=====

Number 1 is which compound? HgGePd2W